VASP calculation (GGA+U) on an optimized crystal structure of RbSr2MoO6.

Summary:
DFT total energy: -6.165 eV/atom
Volume: 344.03 Å³ per cell
Magnetic moment: 0.106 μB/atom
Space group: P2_1/c

abc: 5.9114 6.5166 10.6290
angles: 90.00 122.84 90.00
Last column: nearest neighbours and their distance in Å.
Positions (direct):
Rb  0.0000  0.0000  0.0000  2 O 2.66
Rb  0.0000  0.5000  0.5000  2 O 2.66
Sr  0.2113  0.0287  0.7175  6 O 2.47-2.65
Sr  0.2113  0.4713  0.2175  6 O 2.47-2.65
Sr  0.7887  0.5287  0.7825  6 O 2.47-2.65
Sr  0.7887  0.9713  0.2825  6 O 2.47-2.65
Mo  0.5000  0.0000  0.5000  6 O 1.93-1.97
Mo  0.5000  0.5000  0.0000  6 O 1.93-1.97
O  0.1994  0.1430  0.4833  1 Mo 1.93
O  0.1994  0.3570  0.9833  1 Mo 1.93
O  0.2490  0.7223  0.8785  1 Mo 1.97
O  0.2490  0.7777  0.3785  1 Mo 1.97
O  0.4372  0.1315  0.3181  1 Mo 1.96
O  0.4372  0.3685  0.8181  1 Mo 1.96
O  0.5628  0.6315  0.1819  1 Mo 1.96
O  0.5628  0.8685  0.6819  1 Mo 1.96
O  0.7510  0.2223  0.6215  1 Mo 1.97
O  0.7510  0.2777  0.1215  1 Mo 1.97
O  0.8006  0.6430  0.0167  1 Mo 1.93
O  0.8006  0.8570  0.5167  1 Mo 1.93